1.
An optimized crystal structure of PmBiPb, computed with PBE-GGA.

a b c (Å): 4.6335 4.5775 8.9093
angles (deg): 104.89 90.00 90.00
Sites, in units of the cell vectors:
Bi 0.2500 0.4261 0.8523
Bi 0.7500 0.5739 0.1477
Pb 0.2500 0.7499 0.4999
Pb 0.7500 0.2501 0.5001
Pm 0.7500 0.9035 0.8069
Pm 0.2500 0.0965 0.1931

Summary:
M_tot ... 0.0 μB/cell
ΔE to the lowest computed polymorph ... 0 meV per atom
E ... -27.9 eV for the cell shown
Mass density ... 10.2 Mg/m³
SG ... Cmcm


2.
An optimized crystal structure of PmBi2Pb, computed with PBE-GGA.

a b c (Å): 6.9159 6.9165 6.9165
angles (deg): 76.45 74.02 119.36
Sites, in units of the cell vectors:
Bi 0.0000 0.2500 0.2498
Bi 0.4998 0.7500 0.2500
Bi 0.5002 0.2500 0.7500
Bi 0.0000 0.7500 0.7502
Pm 0.0001 0.2500 0.7499
Pm 0.9999 0.7500 0.2501
Pb 0.5000 0.7500 0.7500
Pb 0.5000 0.2500 0.2500

Summary:
M_tot ... 0.0 μB/cell
ΔE to the lowest computed polymorph ... 11 meV per atom
E ... -35.8 eV for the cell shown
Mass density ... 10.3 Mg/m³
SG ... Cmmm


3.
An optimized crystal structure of PmBiPb, computed with PBE-GGA.

a b c (Å): 3.4239 5.6168 5.6168
angles (deg): 120.00 90.00 90.00
Sites, in units of the cell vectors:
Pb 0.8338 0.3333 0.6667
Bi 0.8321 0.0000 0.0000
Pm 0.3341 0.6667 0.3333

Summary:
M_tot ... 0.0 μB/cell
ΔE to the lowest computed polymorph ... 239 meV per atom
E ... -13.3 eV for the cell shown
Mass density ... 10.0 Mg/m³
SG ... P3m1


4.
An optimized crystal structure of PmBiPb2, computed with PBE-GGA.

a b c (Å): 5.2965 5.2965 8.4617
angles (deg): 71.76 71.76 60.00
Sites, in units of the cell vectors:
Pm 0.5000 0.5000 0.5000
Pb 0.8765 0.8765 0.3704
Pb 0.1235 0.1235 0.6296
Bi 0.0000 0.0000 0.0000

Summary:
M_tot ... 0.0 μB/cell
ΔE to the lowest computed polymorph ... 786 meV per atom
E ... -14.4 eV for the cell shown
Mass density ... 6.7 Mg/m³
SG ... R-3m


5.
An optimized crystal structure of Pm12BiPb6, computed with PBE-GGA.

a b c (Å): 9.1162 9.1162 9.1162
angles (deg): 100.31 100.31 100.31
Sites, in units of the cell vectors:
Pm 0.9375 0.0474 0.6661
Pm 0.5818 0.4427 0.8111
Pm 0.4182 0.5573 0.1889
Pm 0.1889 0.4182 0.5573
Pm 0.0474 0.6661 0.9375
Pm 0.4427 0.8111 0.5818
Pm 0.9526 0.3339 0.0625
Pm 0.5573 0.1889 0.4182
Pm 0.6661 0.9375 0.0474
Pm 0.3339 0.0625 0.9526
Pm 0.8111 0.5818 0.4427
Pm 0.0625 0.9526 0.3339
Pb 0.1273 0.6234 0.3118
Pb 0.6234 0.3118 0.1273
Pb 0.6882 0.8727 0.3766
Pb 0.3118 0.1273 0.6234
Pb 0.8727 0.3766 0.6882
Pb 0.3766 0.6882 0.8727
Bi 0.0000 0.0000 0.0000

Summary:
M_tot ... 0.0 μB/cell
E ... -88.2 eV for the cell shown
Mass density ... 7.4 Mg/m³
SG ... R-3


6.
An optimized crystal structure of Pm4Bi3Pb, computed with PBE-GGA.

a b c (Å): 6.4637 6.4637 6.4637
angles (deg): 90.00 90.00 90.00
Sites, in units of the cell vectors:
Pb 0.0000 0.0000 0.0000
Pm 0.5000 0.0000 0.0000
Pm 0.5000 0.5000 0.5000
Pm 0.0000 0.5000 0.0000
Pm 0.0000 0.0000 0.5000
Bi 0.5000 0.0000 0.5000
Bi 0.0000 0.5000 0.5000
Bi 0.5000 0.5000 0.0000

Summary:
M_tot ... 0.0 μB/cell
E ... -40.8 eV for the cell shown
Mass density ... 8.7 Mg/m³
SG ... Pm-3m


7.
An optimized crystal structure of Pm2Bi4Pb, computed with PBE-GGA.

a b c (Å): 4.5373 4.5373 11.5657
angles (deg): 90.00 90.00 90.00
Sites, in units of the cell vectors:
Bi 0.0000 0.0000 0.5000
Bi 0.5000 0.0000 0.2014
Bi 0.5000 0.5000 0.5000
Bi 0.0000 0.5000 0.7986
Pb 0.5000 0.5000 0.0000
Pm 0.5000 0.0000 0.7202
Pm 0.0000 0.5000 0.2798

Summary:
M_tot ... 0.0 μB/cell
E ... -32.1 eV for the cell shown
Mass density ... 9.3 Mg/m³
SG ... P-4m2


8.
An optimized crystal structure of PmBiPb, computed with PBE-GGA.

a b c (Å): 4.2128 4.2128 6.0603
angles (deg): 110.34 110.34 90.00
Sites, in units of the cell vectors:
Pm 0.2766 0.2766 0.5532
Pb 0.9418 0.9418 0.8835
Bi 0.6316 0.6316 0.2633

Summary:
M_tot ... 0.0 μB/cell
ΔE to the lowest computed polymorph ... 150 meV per atom
E ... -13.5 eV for the cell shown
Mass density ... 9.9 Mg/m³
SG ... I4mm


9.
An optimized crystal structure of Pm4Bi5Pb, computed with PBE-GGA.

a b c (Å): 4.5785 4.5785 16.7735
angles (deg): 97.84 97.84 90.00
Sites, in units of the cell vectors:
Bi 0.8974 0.8974 0.7948
Bi 0.1026 0.1026 0.2052
Bi 0.7005 0.7005 0.4010
Bi 0.5000 0.5000 0.0000
Bi 0.2995 0.2995 0.5990
Pm 0.3988 0.3988 0.7977
Pm 0.6012 0.6012 0.2023
Pm 0.7989 0.7989 0.5979
Pm 0.2011 0.2011 0.4021
Pb 0.0000 0.0000 0.0000

Summary:
M_tot ... 0.0 μB/cell
E ... -49.1 eV for the cell shown
Mass density ... 8.8 Mg/m³
SG ... I4/mmm


10.
An optimized crystal structure of Pm2Bi5Pb, computed with PBE-GGA.

a b c (Å): 6.9767 6.9757 6.9763
angles (deg): 117.83 117.83 93.80
Sites, in units of the cell vectors:
Bi 0.7779 0.7778 0.5000
Bi 0.7778 0.2780 0.0000
Bi 0.2778 0.2779 0.0000
Bi 0.2777 0.7779 0.0000
Bi 0.2779 0.2778 0.5000
Pm 0.7779 0.2777 0.4999
Pm 0.2780 0.7779 0.5001
Pb 0.7780 0.7780 0.0000

Summary:
M_tot ... 0.0 μB/cell
E ... -36.0 eV for the cell shown
Mass density ... 10.4 Mg/m³
SG ... I4/mmm


11.
An optimized crystal structure of Pm2BiPb, computed with PBE-GGA.

a b c (Å): 4.4478 4.4478 8.2498
angles (deg): 89.92 105.69 120.07
Sites, in units of the cell vectors:
Bi 0.0000 0.5000 0.5000
Pm 0.4969 0.2485 0.7454
Pm 0.5031 0.7515 0.2546
Pb 0.0000 0.0000 0.0000

Summary:
M_tot ... 0.0 μB/cell
ΔE to the lowest computed polymorph ... 67 meV per atom
E ... -19.8 eV for the cell shown
Mass density ... 8.7 Mg/m³
SG ... R-3m


12.
An optimized crystal structure of PmBi2Pb, computed with PBE-GGA.

a b c (Å): 4.6517 4.6517 11.5843
angles (deg): 90.00 90.00 90.00
Sites, in units of the cell vectors:
Pm 0.5000 0.0000 0.7235
Pm 0.0000 0.5000 0.2765
Bi 0.5000 0.5000 0.5000
Bi 0.0000 0.5000 0.7657
Bi 0.0000 0.0000 0.5000
Bi 0.5000 0.0000 0.2343
Pb 0.5000 0.5000 0.0000
Pb 0.0000 0.0000 0.0000

Summary:
M_tot ... 0.0 μB/cell
ΔE to the lowest computed polymorph ... 0 meV per atom
E ... -35.9 eV for the cell shown
Mass density ... 10.2 Mg/m³
SG ... P4/nmm


13.
An optimized crystal structure of Pm2BiPb, computed with PBE-GGA.

a b c (Å): 4.5189 5.1579 5.1579
angles (deg): 90.00 90.00 90.00
Sites, in units of the cell vectors:
Pb 0.5000 0.0000 0.0000
Pm 0.0000 0.0000 0.5000
Pm 0.0000 0.5000 0.0000
Bi 0.5000 0.5000 0.5000

Summary:
M_tot ... 0.0 μB/cell
ΔE to the lowest computed polymorph ... 167 meV per atom
E ... -19.4 eV for the cell shown
Mass density ... 9.8 Mg/m³
SG ... P4/mmm


14.
An optimized crystal structure of Pm7BiPb2, computed with PBE-GGA.

a b c (Å): 5.4939 5.4939 12.8306
angles (deg): 90.00 90.00 120.00
Sites, in units of the cell vectors:
Pm 0.3333 0.6667 0.4380
Pm 0.3333 0.6667 0.9663
Pm 0.0000 0.0000 0.2678
Pm 0.0000 0.0000 0.7349
Pm 0.6667 0.3333 0.8546
Pm 0.6667 0.3333 0.1063
Pm 0.6667 0.3333 0.5948
Pb 0.6667 0.3333 0.3503
Pb 0.3333 0.6667 0.6992
Bi 0.0000 0.0000 0.0043

Summary:
M_tot ... 0.3 μB/cell
E ... -47.2 eV for the cell shown
Mass density ... 8.1 Mg/m³
SG ... P3m1


15.
An optimized crystal structure of Pm3Bi2Pb, computed with PBE-GGA.

a b c (Å): 4.5055 6.4710 7.9752
angles (deg): 113.93 106.41 90.00
Sites, in units of the cell vectors:
Bi 0.6671 0.1671 0.3343
Bi 0.3329 0.8329 0.6657
Pm 0.3318 0.3318 0.6636
Pm 0.6682 0.6682 0.3364
Pm 0.0000 0.0000 0.0000
Pb 0.0000 0.5000 0.0000

Summary:
M_tot ... 0.0 μB/cell
E ... -30.3 eV for the cell shown
Mass density ... 8.7 Mg/m³
SG ... Immm


16.
An optimized crystal structure of Pm7Bi2Pb2, computed with PBE-GGA.

a b c (Å): 7.3724 7.3492 7.3724
angles (deg): 90.00 103.26 90.00
Sites, in units of the cell vectors:
Pm 0.4998 0.2638 0.5002
Pm 0.9998 0.2836 0.5003
Pm 0.5002 0.7362 0.4998
Pm 0.5003 0.7164 0.9998
Pm 0.0002 0.7164 0.4997
Pm 0.4997 0.2836 0.0002
Pm 0.0000 0.0000 0.0000
Bi 0.2767 0.0000 0.7233
Bi 0.7233 0.0000 0.2767
Pb 0.8181 0.5000 0.8181
Pb 0.1819 0.5000 0.1819

Summary:
M_tot ... 0.0 μB/cell
E ... -51.4 eV for the cell shown
Mass density ... 7.9 Mg/m³
SG ... Cmmm


17.
An optimized crystal structure of PmBi2Pb, computed with PBE-GGA.

a b c (Å): 3.5651 3.5651 12.2908
angles (deg): 81.66 81.66 60.00
Sites, in units of the cell vectors:
Bi 0.9080 0.9080 0.2759
Bi 0.0920 0.0920 0.7241
Pb 0.0000 0.0000 0.0000
Pm 0.5000 0.5000 0.5000

Summary:
M_tot ... 0.0 μB/cell
ΔE to the lowest computed polymorph ... 225 meV per atom
E ... -17.0 eV for the cell shown
Mass density ... 9.6 Mg/m³
SG ... R-3m


18.
An optimized crystal structure of PmBi5Pb2, computed with PBE-GGA.

a b c (Å): 6.9312 6.9309 6.9271
angles (deg): 105.47 105.47 117.83
Sites, in units of the cell vectors:
Bi 0.7777 0.7779 0.4998
Bi 0.2780 0.2781 0.5002
Bi 0.2781 0.2778 0.0000
Bi 0.7779 0.2779 0.0000
Bi 0.2781 0.7777 0.0000
Pb 0.2775 0.7778 0.4999
Pb 0.7776 0.2779 0.5001
Pm 0.7780 0.7778 0.0000

Summary:
M_tot ... 0.0 μB/cell
E ... -33.0 eV for the cell shown
Mass density ... 10.6 Mg/m³
SG ... I4/mmm


19.
An optimized crystal structure of Pm2BiPb, computed with PBE-GGA.

a b c (Å): 4.3460 4.3460 8.7191
angles (deg): 75.57 75.57 60.00
Sites, in units of the cell vectors:
Pm 0.0787 0.0787 0.7639
Pm 0.2546 0.2546 0.2363
Pb 0.4988 0.4988 0.5036
Bi 0.6679 0.6679 0.9962

Summary:
M_tot ... 0.0 μB/cell
ΔE to the lowest computed polymorph ... 168 meV per atom
E ... -19.4 eV for the cell shown
Mass density ... 8.6 Mg/m³
SG ... R3m


20.
An optimized crystal structure of Pm4Bi3Pb, computed with PBE-GGA.

a b c (Å): 4.5421 7.9336 7.9336
angles (deg): 109.12 90.00 90.00
Sites, in units of the cell vectors:
Pm 0.0000 0.2501 0.2501
Pm 0.5000 0.2493 0.7507
Pm 0.0000 0.7499 0.7499
Pm 0.5000 0.7507 0.2493
Bi 0.0000 0.0000 0.5000
Bi 0.5000 0.5000 0.5000
Bi 0.0000 0.5000 0.0000
Pb 0.5000 0.0000 0.0000

Summary:
M_tot ... 0.0 μB/cell
E ... -40.8 eV for the cell shown
Mass density ... 8.7 Mg/m³
SG ... Cmmm


no.,calculated formation energy (eV per atom)
1,-0.54
2,-0.42
3,-0.30
4,0.40
5,-0.27
6,-0.81
7,-0.48
8,-0.39
9,-0.70
10,-0.42
11,-0.68
12,-0.43
13,-0.58
14,-0.27
15,-0.76
16,-0.27
17,-0.21
18,-0.18
19,-0.58
20,-0.80